No. 1
A plane-wave DFT calculation with meta-GGA SCAN was carried out for a PBEsol-optimized structure of Ba2SrCu2.

POSCAR file:
```
Ba2SrCu2
1.0
5.6554 0.0000 0.0000
0.0000 5.6554 0.0000
-2.8277 -2.8277 5.7854
Cu Sr Ba
2 1 2
direct
0.7500 0.2500 0.5000
0.2500 0.7500 0.5000
0.0000 0.0000 0.0000
0.6557 0.6557 0.3114
0.3443 0.3443 0.6886
```

Output
crystal system: tetragonal
DFT formation energy: 1.564 eV/f.u.
calculated volume: 37.0 Å³ per atom

No. 2
A plane-wave DFT calculation with meta-GGA SCAN was carried out for a PBEsol-optimized structure of RbSi3As.

POSCAR file:
```
RbSi3As
1.0
5.2719 0.0000 0.0000
0.0000 5.2719 0.0000
0.0000 0.0000 5.2719
Rb Si As
1 3 1
direct
0.0000 0.0000 0.0000
0.0000 0.0000 0.5000
0.5000 0.0000 0.0000
0.0000 0.5000 0.0000
0.5000 0.5000 0.5000
```

Output
crystal system: cubic
calculated volume: 29.3 Å³ per atom
energy relative to the elements, uncorrected: 2.693 eV per atom

No. 3
A plane-wave DFT calculation with meta-GGA SCAN was carried out for a PBEsol-optimized structure of AgSbTe16Pb14.

POSCAR file:
```
AgSbTe16Pb14
1.0
-1.3467 -7.7047 -4.5447
-3.8783 -3.6386 7.3178
-8.7132 9.9399 -5.2666
Ag Te Pb Sb
1 16 14 1
direct
0.5000 0.5000 0.0000
0.8749 0.3749 0.7497
0.8774 0.8774 0.7547
0.1251 0.6251 0.2503
0.7546 0.7546 0.0000
0.0000 0.0000 0.5000
0.5000 0.0000 0.5000
0.6251 0.1251 0.2503
0.2454 0.2454 0.0000
0.1226 0.1226 0.2453
0.6127 0.6127 0.2254
0.7546 0.2454 0.0000
0.3749 0.8749 0.7497
0.2454 0.7546 0.0000
0.5000 0.5000 0.5000
0.0000 0.5000 0.5000
0.3873 0.3873 0.7746
0.5000 0.0000 0.0000
0.7452 0.7452 0.4905
0.1267 0.1267 0.7521
0.2500 0.7500 0.5000
0.1267 0.6254 0.7521
0.6254 0.1267 0.7521
0.8733 0.8733 0.2479
0.7500 0.2500 0.5000
0.2548 0.2548 0.5095
0.0000 0.5000 0.0000
0.3746 0.8733 0.2479
0.6254 0.6254 0.7521
0.8733 0.3746 0.2479
0.3746 0.3746 0.2479
0.0000 0.0000 0.0000
```

Output
crystal system: tetragonal
calculated volume: 32.5 Å³ per atom
energy relative to the elements, uncorrected: -0.331 eV per atom